Here is crystalline Tb2PtRh at its relaxed geometry from Alexandria via LeMat-Bulk. Energies are from PBE.

```
data_Tb2PtRh
_chemical_formula_sum 'Tb4 Pt2 Rh2'
_cell_length_a 5.6563
_cell_length_b 4.3771
_cell_length_c 7.5231
_cell_angle_alpha 90.00
_cell_angle_beta 109.51
_cell_angle_gamma 90.00
_symmetry_space_group_name_H-M 'P 1 21/m 1'
_symmetry_Int_Tables_number 11
_symmetry_space_group_name_Hall '-P 2yb'
loop_
_atom_site_label
_atom_site_fract_x
_atom_site_fract_y
_atom_site_fract_z
Tb1 0.2200 0.2500 0.4314
Tb2 0.2215 0.2500 0.9285
Pt1 0.3282 0.7500 0.2063
Rh1 0.3199 0.7500 0.7060
```

## Properties
Formation energy ... -1.046 eV per atom
E_tot ... -53.7 eV/cell